(1)
! AlRh PBE optimized geometry; values from VASP
! **Energy**: -75.9 eV for the cell shown
! **Density**: 7.6 Mg/m³
! **Calculated volume**: 28.5 Å³/f.u.
&SYSTEM
  ibrav = 0, nat = 12, ntyp = 2
/
ATOMIC_SPECIES
Rh 102.91 Rh.upf
Al 26.98 Al.upf
ATOMIC_POSITIONS crystal
Rh 0.938 0.142 0.324
Rh 0.000 0.333 0.667
Rh 0.062 0.524 0.009
Rh 0.524 0.735 0.461
Rh 0.000 0.833 0.667
Rh 0.476 0.932 0.873
Al 0.956 0.035 0.984
Al 0.441 0.096 0.171
Al 0.500 0.187 0.534
Al 0.500 0.480 0.799
Al 0.559 0.570 0.162
Al 0.044 0.631 0.350
CELL_PARAMETERS angstrom
-3.399 1.687 -2.388
-3.939 -3.058 1.733
-2.299 3.609 6.218

(2)
! Sm3TcB7 PBE optimized geometry; values from VASP
! **Energy**: -153.6 eV for the cell shown
! **Density**: 7.5 Mg/m³
! **Calculated volume**: 138.5 Å³/f.u.
&SYSTEM
  ibrav = 0, nat = 22, ntyp = 3
/
ATOMIC_SPECIES
Sm 150.36 Sm.upf
Tc 98.00 Tc.upf
B 10.81 B.upf
ATOMIC_POSITIONS crystal
Sm 0.104 0.208 0.439
Sm 0.896 0.792 0.561
Sm 0.241 0.483 0.750
Sm 0.759 0.517 0.250
Sm 0.104 0.208 0.061
Sm 0.896 0.792 0.939
Tc 0.945 0.890 0.250
Tc 0.055 0.110 0.750
B 0.463 0.926 0.750
B 0.537 0.074 0.250
B 0.477 0.955 0.402
B 0.523 0.045 0.598
B 0.523 0.045 0.902
B 0.477 0.955 0.098
B 0.369 0.737 0.348
B 0.631 0.263 0.652
B 0.274 0.548 0.468
B 0.726 0.452 0.532
B 0.726 0.452 0.968
B 0.274 0.548 0.032
B 0.369 0.737 0.152
B 0.631 0.263 0.848
CELL_PARAMETERS angstrom
3.607 0.000 0.000
-1.804 8.081 0.000
0.000 0.000 9.499

(3)
! PrZrBi3 PBE optimized geometry; values from VASP
! **Energy**: -110.6 eV for the cell shown
! **Density**: 9.4 Mg/m³
! **Calculated volume**: 152.0 Å³/f.u.
&SYSTEM
  ibrav = 0, nat = 20, ntyp = 3
/
ATOMIC_SPECIES
Pr 140.91 Pr.upf
Zr 91.22 Zr.upf
Bi 208.98 Bi.upf
ATOMIC_POSITIONS crystal
Pr 0.750 0.487 0.683
Pr 0.250 0.513 0.317
Pr 0.750 0.987 0.317
Pr 0.250 0.013 0.683
Zr 0.500 0.250 0.093
Zr 0.000 0.750 0.907
Zr 0.500 0.750 0.907
Zr 0.000 0.250 0.093
Bi 0.000 0.250 0.496
Bi 0.500 0.750 0.504
Bi 0.000 0.750 0.504
Bi 0.500 0.250 0.496
Bi 0.250 0.123 0.921
Bi 0.750 0.877 0.079
Bi 0.250 0.623 0.079
Bi 0.750 0.377 0.921
Bi 0.250 0.510 0.759
Bi 0.750 0.490 0.241
Bi 0.250 0.010 0.241
Bi 0.750 0.990 0.759
CELL_PARAMETERS angstrom
6.583 0.000 0.000
0.000 6.667 0.000
0.000 0.000 13.856

(4)
! BaNbAl3 PBE optimized geometry; values from VASP
! **Energy**: -12.3 eV for the cell shown
! **Density**: 3.3 Mg/m³
! **Calculated volume**: 154.5 Å³/f.u.
! **Excess energy over the best structure of this formula in the dataset**: 2111 meV per atom
&SYSTEM
  ibrav = 0, nat = 5, ntyp = 3
/
ATOMIC_SPECIES
Nb 92.91 Nb.upf
Ba 137.33 Ba.upf
Al 26.98 Al.upf
ATOMIC_POSITIONS crystal
Nb 0.500 0.500 0.500
Ba 0.000 0.000 0.000
Al 0.000 0.500 0.000
Al 0.000 0.000 0.500
Al 0.500 0.000 0.000
CELL_PARAMETERS angstrom
5.366 0.000 0.000
0.000 5.366 0.000
0.000 0.000 5.366

(5)
! Lu2PuOs PBE optimized geometry; values from VASP
! **Energy**: -34.1 eV for the cell shown
! **Density**: 14.9 Mg/m³
! **Calculated volume**: 87.4 Å³/f.u.
! **Excess energy over the best structure of this formula in the dataset**: 270 meV per atom
&SYSTEM
  ibrav = 0, nat = 4, ntyp = 3
/
ATOMIC_SPECIES
Lu 174.97 Lu.upf
Os 190.23 Os.upf
Pu 244.00 Pu.upf
ATOMIC_POSITIONS crystal
Lu 0.250 0.250 0.250
Lu 0.750 0.750 0.750
Os 0.000 0.000 0.000
Pu 0.500 0.500 0.500
CELL_PARAMETERS angstrom
-2.143 4.317 -1.253
-3.811 1.759 2.681
0.624 4.017 2.878

(6)
! Be3Cu4 PBE optimized geometry; values from VASP
! **Energy**: -24.3 eV for the cell shown
! **Density**: 5.6 Mg/m³
! **Calculated volume**: 83.7 Å³/f.u.
! **Excess energy over the best structure of this formula in the dataset**: 522 meV per atom
&SYSTEM
  ibrav = 0, nat = 7, ntyp = 2
/
ATOMIC_SPECIES
Be 9.01 Be.upf
Cu 63.55 Cu.upf
ATOMIC_POSITIONS crystal
Be 0.000 0.500 0.000
Be 0.000 0.000 0.500
Be 0.500 0.000 0.000
Cu 0.000 0.000 0.000
Cu 0.000 0.500 0.500
Cu 0.500 0.000 0.500
Cu 0.500 0.500 0.000
CELL_PARAMETERS angstrom
-0.153 4.359 -0.326
-3.451 0.079 2.687
2.684 0.351 3.436

(7)
! NaSr2Cr PBE optimized geometry; values from VASP
! **Energy**: -23.6 eV for the cell shown
! **Density**: 2.5 Mg/m³
! **Calculated volume**: 164.4 Å³/f.u.
! **Excess energy over the best structure of this formula in the dataset**: 210 meV per atom
&SYSTEM
  ibrav = 0, nat = 8, ntyp = 3
/
ATOMIC_SPECIES
Sr 87.62 Sr.upf
Na 22.99 Na.upf
Cr 52.00 Cr.upf
ATOMIC_POSITIONS crystal
Sr 0.651 0.125 0.250
Sr 0.099 0.625 0.250
Sr 0.375 0.349 0.750
Sr 0.875 0.901 0.750
Na 0.500 0.500 0.000
Na 0.250 0.750 0.500
Cr 0.000 0.000 0.000
Cr 0.750 0.250 0.500
CELL_PARAMETERS angstrom
-5.539 6.532 -3.649
-5.573 -0.571 7.435
-3.521 5.673 3.625

(8)
! Zn2InIr PBE optimized geometry; values from VASP
! **Energy**: -14.2 eV for the cell shown
! **Density**: 11.1 Mg/m³
! **Calculated volume**: 65.6 Å³/f.u.
&SYSTEM
  ibrav = 0, nat = 4, ntyp = 3
/
ATOMIC_SPECIES
In 114.82 In.upf
Ir 192.22 Ir.upf
Zn 65.41 Zn.upf
ATOMIC_POSITIONS crystal
In 0.511 0.511 0.477
Ir 0.260 0.260 0.248
Zn 0.987 0.987 0.000
Zn 0.742 0.742 0.775
CELL_PARAMETERS angstrom
4.964 0.022 -0.041
4.009 2.927 -0.041
1.059 0.348 4.534

(9)
! MnCu2W PBE optimized geometry; values from VASP
! **Energy**: -53.4 eV for the cell shown
! **Density**: 11.1 Mg/m³
! **Calculated volume**: 54.8 Å³/f.u.
! **Excess energy over the best structure of this formula in the dataset**: 685 meV per atom
&SYSTEM
  ibrav = 0, nat = 8, ntyp = 3
/
ATOMIC_SPECIES
Mn 54.94 Mn.upf
Cu 63.55 Cu.upf
W 183.84 W.upf
ATOMIC_POSITIONS crystal
Mn 0.500 0.500 0.000
Mn 0.250 0.750 0.500
Cu 0.607 0.125 0.250
Cu 0.143 0.625 0.250
Cu 0.375 0.393 0.750
Cu 0.875 0.857 0.750
W 0.000 0.000 0.000
W 0.750 0.250 0.500
CELL_PARAMETERS angstrom
6.758 0.000 0.000
0.000 6.758 0.000
3.379 3.379 2.399

(10)
! AgIr2W PBE optimized geometry; values from VASP
! **Energy**: -32.6 eV for the cell shown
! **Density**: 18.1 Mg/m³
! **Calculated volume**: 62.2 Å³/f.u.
! **Excess energy over the best structure of this formula in the dataset**: 229 meV per atom
&SYSTEM
  ibrav = 0, nat = 4, ntyp = 3
/
ATOMIC_SPECIES
Ir 192.22 Ir.upf
Ag 107.87 Ag.upf
W 183.84 W.upf
ATOMIC_POSITIONS crystal
Ir 0.000 0.999 0.002
Ir 0.500 0.239 0.264
Ag 0.500 0.743 0.756
W 0.000 0.519 0.478
CELL_PARAMETERS angstrom
-3.853 1.060 0.738
-0.779 -2.643 -0.272
0.036 -3.441 5.134

(11)
! BaAg2PdSe PBE optimized geometry; values from VASP
! **Energy**: -18.1 eV for the cell shown
! **Uncorrected formation energy**: -0.37 eV per atom
! **Density**: 6.6 Mg/m³
! **Calculated volume**: 135.1 Å³/f.u.
&SYSTEM
  ibrav = 0, nat = 5, ntyp = 4
/
ATOMIC_SPECIES
Pd 106.42 Pd.upf
Se 78.96 Se.upf
Ba 137.33 Ba.upf
Ag 107.87 Ag.upf
ATOMIC_POSITIONS crystal
Pd 0.000 0.000 0.000
Se 0.000 0.500 0.000
Ba 0.500 0.500 0.500
Ag 0.000 0.000 0.500
Ag 0.500 0.000 0.000
CELL_PARAMETERS angstrom
5.164 0.000 0.000
0.000 5.066 0.000
0.000 0.000 5.164

(12)
! Re2HSeO PBE optimized geometry; values from VASP
! **Energy**: -32.3 eV for the cell shown
! **Density**: 11.6 Mg/m³
! **Calculated volume**: 67.3 Å³/f.u.
&SYSTEM
  ibrav = 0, nat = 5, ntyp = 4
/
ATOMIC_SPECIES
Re 186.21 Re.upf
O 16.00 O.upf
Se 78.96 Se.upf
H 1.01 H.upf
ATOMIC_POSITIONS crystal
Re 0.000 0.000 0.500
Re 0.500 0.000 0.000
O 0.000 0.000 0.000
Se 0.500 0.500 0.500
H 0.000 0.500 0.000
CELL_PARAMETERS angstrom
3.944 0.000 0.000
0.000 4.325 0.000
0.000 0.000 3.944